No. 1
Below is a geometry-optimized Pr2InSb4 structure, with properties calculated at the PBE level.

The structure in extended XYZ format:
```
7
Lattice="4.4015 0.0000 0.0000 0.0000 4.4015 0.0000 0.0000 0.0000 11.0991" Properties=species:S:1:pos:R:3 pbc="T T T"
Pr 0.0000 2.2007 2.4981
Pr 2.2007 0.0000 8.6010
In 0.0000 0.0000 5.5496
Sb 0.0000 0.0000 0.0000
Sb 0.0000 2.2007 7.4918
Sb 2.2007 0.0000 3.6073
Sb 2.2007 2.2007 0.0000
```

Computed properties:
E_tot, eV/atom: -4.806
Energy relative to the elements, uncorrected, meV/atom: -693
Magnetization, Bohr magnetons per cell: 0.000
Crystal system: tetragonal

***

No. 2
Below is a geometry-optimized PrInSb2 structure, with properties calculated at the PBE level.

The structure in extended XYZ format:
```
4
Lattice="1.9008 1.0975 10.4390 -1.9008 1.0975 10.4390 0.0000 -2.1949 10.4390" Properties=species:S:1:pos:R:3 pbc="T T T"
Pr 0.0000 0.0000 0.0000
In 0.0000 0.0000 15.6585
Sb 0.0000 0.0000 3.1648
Sb 0.0000 0.0000 28.1522
```

Computed properties:
E_tot, eV/atom: -3.812
Energy above the lowest structure with this stoichiometry, meV per atom: 688
Energy relative to the elements, uncorrected, meV/atom: 129
Magnetization, Bohr magnetons per cell: 0.000
Crystal system: trigonal

***

No. 3
Below is a geometry-optimized Pr3InSb structure, with properties calculated at the PBE level.

The structure in extended XYZ format:
```
10
Lattice="9.7265 0.0000 0.0000 0.0000 4.2040 0.0000 -4.2123 0.0000 8.7788" Properties=species:S:1:pos:R:3 pbc="T T T"
Pr 0.0000 0.0000 0.0000
Pr -1.8755 2.1020 5.0833
Pr 2.2268 2.1020 2.4935
Pr 0.3604 0.0000 7.5693
Pr 3.5033 0.0000 5.5826
Pr 6.5846 0.0000 1.9885
In 0.1754 0.0000 3.7873
In 2.9371 2.1020 8.1746
Sb -1.9246 2.1020 8.1780
Sb 5.0414 2.1020 3.7830
```

Computed properties:
E_tot, eV/atom: -4.694
Energy relative to the elements, uncorrected, meV/atom: -454
Magnetization, Bohr magnetons per cell: 0.000
Crystal system: monoclinic

***

No. 4
Below is a geometry-optimized Pr10In3Sb3 structure, with properties calculated at the PBE level.

The structure in extended XYZ format:
```
16
Lattice="9.4014 0.0000 0.0000 -4.7007 8.1418 0.0000 0.0000 0.0000 6.7928" Properties=species:S:1:pos:R:3 pbc="T T T"
Pr -1.1344 1.9649 0.0000
Pr -3.5570 6.1609 3.3964
Pr 2.2689 0.0000 0.0000
Pr 1.1437 1.9810 3.3964
Pr 0.0000 5.4279 1.7387
Pr 0.0000 5.4279 5.0541
Pr 4.7007 2.7139 1.7387
Pr 4.7007 2.7139 5.0541
Pr 7.1140 0.0000 3.3964
Pr 3.5662 6.1769 0.0000
In -2.8392 4.9177 0.0000
In 1.8615 3.2241 0.0000
In 5.6785 0.0000 0.0000
Sb -1.8277 3.1657 3.3964
Sb 3.6554 0.0000 3.3964
Sb 2.8730 4.9762 3.3964
```

Computed properties:
E_tot, eV/atom: -4.925
Energy relative to the elements, uncorrected, meV/atom: -651
Magnetization, Bohr magnetons per cell: 0.000
Crystal system: hexagonal

***

No. 5
Below is a geometry-optimized PrInSb2 structure, with properties calculated at the PBE level.

The structure in extended XYZ format:
```
8
Lattice="3.1428 -3.1348 0.0000 3.1428 3.1348 0.0000 -0.0290 0.0000 12.1487" Properties=species:S:1:pos:R:3 pbc="T T T"
Pr 0.0008 0.0000 2.5005
Pr 6.2557 0.0000 9.6482
In 3.1283 1.6273 6.0744
In 3.1283 -1.6273 6.0744
Sb 1.5714 1.5674 0.0000
Sb 3.1136 0.0000 8.6352
Sb 1.5714 -1.5674 0.0000
Sb 3.1430 0.0000 3.5135
```

Computed properties:
E_tot, eV/atom: -4.500
Energy above the lowest structure with this stoichiometry, meV per atom: 0
Energy relative to the elements, uncorrected, meV/atom: -560
Magnetization, Bohr magnetons per cell: 0.000
Crystal system: monoclinic

***

No. 6
Below is a geometry-optimized Pr6InSb2Te3 structure, with properties calculated at the PBE level.

The structure in extended XYZ format:
```
12
Lattice="9.9379 -2.2576 0.0000 9.9379 2.2576 0.0000 -2.1341 0.0000 8.9314" Properties=species:S:1:pos:R:3 pbc="T T T"
Pr -0.5095 0.0000 2.2157
Pr 5.6746 0.0000 3.7726
Pr 4.7179 0.0000 8.1560
Pr 13.0237 0.0000 0.7754
Pr 12.0669 0.0000 5.1587
Pr 18.2511 0.0000 6.7157
In 9.9379 0.0000 0.0000
Sb 2.5988 0.0000 2.9751
Sb 15.1427 0.0000 5.9563
Te 1.5599 0.0000 7.4347
Te 8.8708 0.0000 4.4657
Te 16.1817 0.0000 1.4967
```

Computed properties:
E_tot, eV/atom: -5.303
Energy relative to the elements, uncorrected, meV/atom: -1212
Magnetization, Bohr magnetons per cell: 0.000
Crystal system: monoclinic

***

No. 7
Below is a geometry-optimized Pr6ScIn5 structure, with properties calculated at the PBE level.

The structure in extended XYZ format:
```
12
Lattice="-2.5348 4.5582 7.6788 2.5348 -4.5582 7.6788 2.5348 4.5582 -7.6788" Properties=species:S:1:pos:R:3 pbc="T T T"
Pr 2.5348 2.2222 -2.6093
Pr 0.0000 2.1917 0.0000
Pr 2.5348 2.2222 2.6093
Pr 0.0000 2.3360 5.0695
Pr 0.0000 6.9247 0.0000
Pr 0.0000 2.3360 10.2882
Sc 0.0000 0.0000 7.6788
In 2.5348 0.0000 0.0000
In 0.0000 0.0000 2.5850
In 2.5348 0.0000 5.3318
In 0.0000 4.5582 2.3470
In 0.0000 0.0000 12.7727
```

Computed properties:
E_tot, eV/atom: -4.447
Formation energy from the elements, meV/atom: -389
Magnetization, Bohr magnetons per cell: 0.000
Crystal system: orthorhombic

***

No. 8
Below is a geometry-optimized Pr9ScIn2 structure, with properties calculated at the PBE level.

The structure in extended XYZ format:
```
12
Lattice="5.0304 0.0000 0.0000 0.0000 5.0304 0.0000 0.0000 0.0000 15.2686" Properties=species:S:1:pos:R:3 pbc="T T T"
Pr 0.0000 0.0000 0.0000
Pr 0.0000 0.0000 5.1001
Pr 0.0000 0.0000 10.1685
Pr 0.0000 2.5152 2.5724
Pr 0.0000 2.5152 7.6343
Pr 0.0000 2.5152 12.6962
Pr 2.5152 0.0000 2.5724
Pr 2.5152 0.0000 7.6343
Pr 2.5152 0.0000 12.6962
Sc 2.5152 2.5152 0.0000
In 2.5152 2.5152 5.1365
In 2.5152 2.5152 10.1321
```

Computed properties:
E_tot, eV/atom: -4.736
Formation energy from the elements, meV/atom: -167
Magnetization, Bohr magnetons per cell: 0.000
Crystal system: tetragonal

***

No. 9
Below is a geometry-optimized Pr2ScIn structure, with properties calculated at the PBE level.

The structure in extended XYZ format:
```
4
Lattice="1.7786 1.0269 11.1724 -1.7786 1.0269 11.1724 0.0000 -2.0537 11.1724" Properties=species:S:1:pos:R:3 pbc="T T T"
Pr 0.0000 0.0000 0.0000
Pr 0.0000 0.0000 5.5329
Sc 0.0000 0.0000 25.1093
In 0.0000 0.0000 19.5265
```

Computed properties:
E_tot, eV/atom: -4.729
Energy above the lowest structure with this stoichiometry, meV per atom: 179
Formation energy from the elements, meV/atom: -72
Magnetization, Bohr magnetons per cell: 0.001
Crystal system: trigonal

***

No. 10
Below is a geometry-optimized Pr12ScIn3 structure, with properties calculated at the PBE level.

The structure in extended XYZ format:
```
16
Lattice="5.0268 0.0000 0.0000 0.0000 5.0268 0.0000 0.0000 0.0000 20.3109" Properties=species:S:1:pos:R:3 pbc="T T T"
Pr 0.0000 0.0000 0.0000
Pr 0.0000 0.0000 5.0547
Pr 0.0000 0.0000 10.1554
Pr 0.0000 0.0000 15.2562
Pr 0.0000 2.5134 2.5288
Pr 0.0000 2.5134 7.5791
Pr 0.0000 2.5134 12.7318
Pr 0.0000 2.5134 17.7821
Pr 2.5134 0.0000 2.5288
Pr 2.5134 0.0000 7.5791
Pr 2.5134 0.0000 12.7318
Pr 2.5134 0.0000 17.7821
Sc 2.5134 2.5134 10.1554
In 2.5134 2.5134 0.0000
In 2.5134 2.5134 5.0148
In 2.5134 2.5134 15.2961
```

Computed properties:
E_tot, eV/atom: -4.687
Formation energy from the elements, meV/atom: -194
Magnetization, Bohr magnetons per cell: 0.000
Crystal system: tetragonal

***

No. 11
Below is a geometry-optimized PrSc2In3 structure, with properties calculated at the PBE level.

The structure in extended XYZ format:
```
6
Lattice="3.6357 0.0000 0.0000 0.0000 3.6357 0.0000 0.0000 0.0000 11.2664" Properties=species:S:1:pos:R:3 pbc="T T T"
Pr 0.0000 0.0000 0.0000
Sc 0.0000 0.0000 3.9035
Sc 0.0000 0.0000 7.3629
In 1.8179 1.8179 2.1810
In 1.8179 1.8179 5.6332
In 1.8179 1.8179 9.0854
```

Computed properties:
E_tot, eV/atom: -4.718
Formation energy from the elements, meV/atom: -441
Magnetization, Bohr magnetons per cell: 0.000
Crystal system: tetragonal

***

No. 12
Below is a geometry-optimized Pr5Sc4In4 structure, with properties calculated at the PBE level.

The structure in extended XYZ format:
```
13
Lattice="-6.3500 6.3500 2.3909 6.3500 -6.3500 2.3909 6.3500 6.3500 -2.3909" Properties=species:S:1:pos:R:3 pbc="T T T"
Pr 0.0000 0.0000 0.0000
Pr 7.8637 3.8074 0.0000
Pr 3.8074 4.8362 0.0000
Pr 2.5425 1.5137 2.3909
Pr -1.5137 2.5425 2.3909
Sc 5.3452 1.2120 0.0000
Sc 5.1380 -1.0048 2.3909
Sc 1.2120 7.3547 0.0000
Sc 1.0048 5.1380 2.3909
In 9.5033 0.9137 0.0000
In 0.9137 3.1966 0.0000
In 5.4363 3.1534 2.3909
In -3.1534 5.4363 2.3909
```

Computed properties:
E_tot, eV/atom: -4.921
Formation energy from the elements, meV/atom: -292
Magnetization, Bohr magnetons per cell: 0.004
Crystal system: tetragonal